# 1
Computed, not measured: a relaxed structure of ZnNi6Ru at the GGA-PBEsol level of DFT.

For the total moment, the calculation gives 20.85 μB per cell. For the raw total energy, the calculation gives -0.2243 hartree per atom. For the energy of formation, the calculation gives -0.02 eV per atom.

The structure belongs to space group Cmmm (No. 65); the cell edges are 7.069, 9.989 and 9.990 Å and the angles 90.00°, 90.00° and 90.00°. The asymmetric unit holds Zn at (0.000, 0.000, 0.248), Zn at (0.000, 0.250, 0.000), Ni at (0.000, 0.000, 0.000), Ni at (0.000, 0.000, 0.500), Ni at (0.000, 0.251, 0.251), Ni at (0.000, 0.500, 0.000), Ni at (0.000, 0.500, 0.500), Ni at (0.249, 0.375, 0.375), Ni at (0.249, 0.376, 0.125), Ru at (0.000, 0.250, 0.500) and Ru at (0.000, 0.500, 0.246).


# 2
Computed, not measured: a relaxed structure of ZnNi2Ru at the GGA-PBEsol level of DFT.

For the total moment, the calculation gives 0.01 μB per cell. For the raw total energy, the calculation gives -0.2214 hartree per atom. For the energy of formation, the calculation gives -0.01 eV per atom.

The structure belongs to space group Cm (No. 8); the cell edges are 8.441, 2.553 and 4.441 Å and the angles 90.00°, 100.37° and 90.00°. The asymmetric unit holds Zn at (0.000, 0.000, 0.000), Ni at (0.004, 0.500, 0.511), Ni at (0.250, 0.000, 0.779) and Ru at (0.257, 0.500, 0.297).


# 3
Computed, not measured: a relaxed structure of ZnNiRu3 at the GGA-PBEsol level of DFT.

For the total moment, the calculation gives 3.38 μB per cell. For the raw total energy, the calculation gives -0.2069 hartree per atom. For the energy of formation, the calculation gives 2.02 eV per atom.

The structure belongs to space group Pm-3m (No. 221); the cell edges are 4.377, 4.377 and 4.377 Å and the angles 90.00°, 90.00° and 90.00°. The asymmetric unit holds Zn at (0.000, 0.000, 0.000), Ni at (0.500, 0.500, 0.500) and Ru at (0.000, 0.000, 0.500).


# 4
Computed, not measured: a relaxed structure of Zr2NiRu at the GGA-PBEsol level of DFT.

For the total moment, the calculation gives 0.00 μB per cell. For the raw total energy, the calculation gives -0.3347 hartree per atom. For the energy of formation, the calculation gives -0.48 eV per atom.

The structure belongs to space group P4/mmm (No. 123); the cell edges are 3.199, 3.199 and 6.408 Å and the angles 90.00°, 90.00° and 90.00°. The asymmetric unit holds Zr at (0.000, 0.000, 0.246), Ni at (0.500, 0.500, 0.000) and Ru at (0.500, 0.500, 0.500).


# 5
Computed, not measured: a relaxed structure of ZrNiRu2 at the GGA-PBEsol level of DFT.

For the total moment, the calculation gives 0.01 μB per cell. For the raw total energy, the calculation gives -0.3291 hartree per atom. For the energy of formation, the calculation gives -0.06 eV per atom.

The structure belongs to space group I4/mmm (No. 139); the cell edges are 3.893, 3.893 and 7.582 Å and the angles 90.00°, 90.00° and 90.00°. The asymmetric unit holds Zr at (0.000, 0.000, 0.000), Ni at (0.000, 0.000, 0.500) and Ru at (0.000, 0.500, 0.250).


# 6
Computed, not measured: a relaxed structure of Zr2NiRu at the GGA-PBEsol level of DFT.

For the total moment, the calculation gives 0.00 μB per cell. For the raw total energy, the calculation gives -0.3220 hartree per atom. For the energy of formation, the calculation gives -0.14 eV per atom.

The structure belongs to space group R-3m (No. 166, hexagonal axes); the cell edges are 3.2875, 3.2875 and 22.1572 Å and the angles 90.00°, 90.00° and 120.00°. The asymmetric unit holds Zr at (0.0000, 0.0000, 0.2473), Ni at (0.0000, 0.0000, 0.5000) and Ru at (0.0000, 0.0000, 0.0000).


# 7
Computed, not measured: a relaxed structure of Zr2NiRu at the GGA-PBEsol level of DFT.

For the total moment, the calculation gives 0.00 μB per cell. For the raw total energy, the calculation gives -0.3339 hartree per atom. For the energy of formation, the calculation gives -0.46 eV per atom.

The structure belongs to space group I4/mmm (No. 139); the cell edges are 4.540, 4.540 and 6.398 Å and the angles 90.00°, 90.00° and 90.00°. The asymmetric unit holds Zr at (0.000, 0.500, 0.250), Ni at (0.000, 0.000, 0.000) and Ru at (0.000, 0.000, 0.500).


# 8
Computed, not measured: a relaxed structure of ZrNiRu2 at the GGA-PBEsol level of DFT.

For the total moment, the calculation gives 0.00 μB per cell. For the raw total energy, the calculation gives -0.3264 hartree per atom. For the energy of formation, the calculation gives 0.02 eV per atom.

The structure belongs to space group C2/m (No. 12); the cell edges are 5.262, 8.851 and 2.763 Å and the angles 90.00°, 116.61° and 90.00°. The asymmetric unit holds Zr at (0.000, 0.000, 0.000), Ni at (0.000, 0.500, 0.000) and Ru at (0.250, 0.250, 0.500).